Entry 1:
Na3ScMn GGA-PBEsol optimized geometry; mass density = 1.77 g cm⁻³; density of states at the Fermi level = 7.90 states/eV/f.u.; VASP energy = -2.98 eV/atom; formation energy = 1.133 eV per atom
1.0
5.4075 0.0000 0.0000
0.0000 5.4075 0.0000
0.0000 0.0000 5.4075
Sc Na Mn
1 3 1
Direct
0.5000 0.5000 0.5000 Sc
0.0000 0.5000 0.0000 Na
0.0000 0.0000 0.5000 Na
0.5000 0.0000 0.0000 Na
0.0000 0.0000 0.0000 Mn

=====

Entry 2:
Na3MnSe GGA-PBEsol optimized geometry; mass density = 2.06 g cm⁻³; polymorph energy (0 for the lowest one) = 0.000 eV per formula unit; density of states at the Fermi level = 5.11 states/eV/f.u.; VASP energy = -3.40 eV/atom; formation energy (no corrections) = 0.16 eV per atom
1.0
5.4713 0.0000 0.0000
0.0000 5.4713 0.0000
0.0000 0.0000 5.4713
Na Mn Se
3 1 1
Direct
0.0000 0.5000 0.0000 Na
0.0000 0.0000 0.5000 Na
0.5000 0.0000 0.0000 Na
0.5000 0.5000 0.5000 Mn
0.0000 0.0000 0.0000 Se

=====

Entry 3:
Na3MnSe GGA-PBEsol optimized geometry; mass density = 2.13 g cm⁻³; polymorph energy (0 for the lowest one) = 2.522 eV per formula unit; density of states at the Fermi level = 5.56 states/eV/f.u.; VASP energy = -2.89 eV/atom; formation energy (no corrections) = 0.67 eV per atom
1.0
-0.2587 -3.8993 -3.7411
2.5599 -3.3869 3.3531
-4.7589 -1.6099 2.0071
Na Mn Se
3 1 1
Direct
0.0000 0.5000 0.0000 Na
0.0000 0.0000 0.5000 Na
0.5000 0.0000 0.0000 Na
0.0000 0.0000 0.0000 Mn
0.5000 0.5000 0.5000 Se

=====

Entry 4:
NaMnSe3 GGA-PBEsol optimized geometry; mass density = 4.22 g cm⁻³; density of states at the Fermi level = 5.94 states/eV/f.u.; VASP energy = -3.69 eV/atom; formation energy (no corrections) = 0.85 eV per atom
1.0
-2.8488 0.6324 -4.0410
4.0398 -0.3358 -2.9005
-0.6402 -4.9328 -0.3206
Na Mn Se
1 1 3
Direct
0.0000 0.0000 0.0000 Na
0.5000 0.5000 0.5000 Mn
0.0000 0.5000 0.0000 Se
0.0000 0.0000 0.5000 Se
0.5000 0.0000 0.0000 Se

=====

Entry 5:
NaMnSi2Se GGA-PBEsol optimized geometry; mass density = 3.01 g cm⁻³; density of states at the Fermi level = 3.04 states/eV/f.u.; VASP energy = -4.51 eV/atom; formation energy (no corrections) = 0.79 eV per atom
1.0
4.5229 0.0000 0.0000
0.0000 5.0937 0.0000
0.0000 0.0000 5.0937
Na Si Mn Se
1 2 1 1
Direct
0.5000 0.5000 0.5000 Na
0.0000 0.0000 0.5000 Si
0.0000 0.5000 0.0000 Si
0.5000 0.0000 0.0000 Mn
0.0000 0.0000 0.0000 Se

=====

Entry 6:
Na2Sr2Mn GGA-PBEsol optimized geometry; mass density = 2.46 g cm⁻³; density of states at the Fermi level = 6.03 states/eV/f.u.; VASP energy = -2.59 eV/atom; formation energy = 0.661 eV per atom
1.0
6.3470 -0.0014 -0.0021
-2.9584 5.6153 0.0021
-2.9584 -2.0439 5.2302
Sr Mn Na
2 1 2
Direct
0.5000 0.7500 0.2500 Sr
0.5000 0.2500 0.7500 Sr
0.0000 0.0000 0.0000 Mn
0.0000 0.6534 0.6534 Na
0.0000 0.3466 0.3466 Na

=====

Entry 7:
Na2TaMn GGA-PBEsol optimized geometry; mass density = 5.86 g cm⁻³; density of states at the Fermi level = 4.54 states/eV/f.u.; VASP energy = -4.65 eV/atom; formation energy = 1.630 eV per atom
1.0
4.8344 0.0000 0.0000
2.4172 4.1867 0.0000
2.4172 1.3956 3.9472
Na Mn Ta
2 1 1
Direct
0.2500 0.2500 0.2500 Na
0.7500 0.7500 0.7500 Na
0.0000 0.0000 0.0000 Mn
0.5000 0.5000 0.5000 Ta

=====

Entry 8:
NaTa3Mn GGA-PBEsol optimized geometry; mass density = 10.45 g cm⁻³; density of states at the Fermi level = 2.74 states/eV/f.u.; VASP energy = -8.73 eV/atom; formation energy = 1.033 eV per atom
1.0
-2.5201 -3.4308 1.7964
1.2178 -2.7366 -3.5180
3.6762 -1.4454 2.3969
Na Mn Ta
1 1 3
Direct
0.5000 0.5000 0.5000 Na
0.0000 0.0000 0.0000 Mn
0.0000 0.5000 0.0000 Ta
0.0000 0.0000 0.5000 Ta
0.5000 0.0000 0.0000 Ta

=====

Q: The lowest mass density belongs to which entry?
A: Na3ScMn

=====

Q: Which value of density of states at the Fermi level does entry 2 give?
A: 5.11 states/eV/f.u.